DFT (PBE-GGA) results for a geometry-optimized SrInIO2 structure.

abc: 4.3738 4.3738 5.5090
angles: 90.00 90.00 90.00
Last column: nearest neighbours and their distance in Å.
Space group P4/mmm (No. 123)
Symmetry-distinct sites (fractional):
Sr: 0.0000 0.0000 0.0000 [1 per cell]  4 I 3.09
In: 0.5000 0.5000 0.5000 [1 per cell]  4 O 2.19
I: 0.5000 0.5000 0.0000 [1 per cell]  2 In 2.75
O: 0.0000 0.5000 0.5000 [2 per cell]  2 In 2.19

Results
The value obtained for the energy above the most stable polymorph in this dataset is 0 meV per atom. The magnetization comes out at 0.00 μB/f.u. For the total DFT energy (no corrections), the calculation gives -4.2097 eV per atom.